# 1
{
  "formula": "Re5Tc4",
  "functional": "PBE-GGA",
  "state": "relaxed",
  "polymorph_energy_mev_per_atom": 214,
  "sg": "I4/mmm",
  "ef_mev_per_atom": 278,
  "e_tot_ev_per_cell": -101.205,
  "lattice_angstrom": [[2.8693, 0.0000, 0.5715], [1.4347, 6.7896, 0.2858], [0.1083, 0.0000, 6.9446]],
  "species": ["Re", "Re", "Re", "Re", "Re", "Tc", "Tc", "Tc", "Tc"],
  "fractional_positions": [[0.0000, 0.0000, 0.0000], [0.6679, 0.6641, 0.0000], [0.3321, 0.3359, 0.0000], [0.3321, 0.0000, 0.3359], [0.6679, 0.0000, 0.6641], [0.6682, 0.3318, 0.3318], [0.3318, 0.6682, 0.6682], [0.0000, 0.3318, 0.6682], [0.0000, 0.6682, 0.3318]]
}

=====

# 2
{
  "formula": "Pu4SbAsSe2",
  "functional": "PBE-GGA",
  "state": "relaxed",
  "sg": "P2/m",
  "e_form_raw_mev_per_atom": -1121,
  "e_tot_ev_per_cell": -82.033,
  "lattice_angstrom": [[4.2145, 0.0000, 0.0000], [0.0000, 7.2983, -0.1193], [0.0000, 2.5941, 6.8602]],
  "species": ["Pu", "Pu", "Pu", "Pu", "Sb", "As", "Se", "Se"],
  "fractional_positions": [[0.0000, 0.7513, 0.7577], [0.0000, 0.2487, 0.2423], [0.5000, 0.7600, 0.2356], [0.5000, 0.2400, 0.7644], [0.0000, 0.5000, 0.5000], [0.5000, 0.5000, 0.0000], [0.0000, 0.0000, 0.0000], [0.5000, 0.0000, 0.5000]]
}

=====

Question: What is the formula in the first record?
Answer: Re5Tc4